Tc2SbOs: optimized geometry, PBE.

Lattice parameters (Å, degrees): 7.0063 7.0063 7.0063 131.05 131.05 71.73
Atoms (fractional coordinates):
Tc (0.0911, 0.6250, 0.9661)
Tc (0.3750, 0.3411, 0.4661)
Tc (0.6589, 0.1250, 0.0339)
Tc (0.8750, 0.9089, 0.5339)
Sb (0.2500, 0.7500, 0.5000)
Sb (0.5000, 0.5000, 0.0000)
Os (0.0000, 0.0000, 0.0000)
Os (0.7500, 0.2500, 0.5000)

Tc2SbOs: optimized geometry, PBE.

Lattice parameters (Å, degrees): 2.9992 2.9992 7.0762 90.00 90.00 90.00
Atoms (fractional coordinates):
Tc (0.0000, 0.0000, 0.2407)
Tc (0.0000, 0.0000, 0.7593)
Sb (0.5000, 0.5000, 0.5000)
Os (0.5000, 0.5000, 0.0000)

TcSb2Os: optimized geometry, PBE.

Lattice parameters (Å, degrees): 5.0373 5.0373 4.7218 103.32 103.32 37.99
Atoms (fractional coordinates):
Tc (0.0000, 0.0000, 0.0000)
Sb (0.2652, 0.2652, 0.9030)
Sb (0.5035, 0.5035, 0.5151)
Os (0.7664, 0.7664, 0.4050)

Tc2SbOs: optimized geometry, PBE.

Lattice parameters (Å, degrees): 8.9242 8.9242 8.9242 18.77 18.77 18.77
Atoms (fractional coordinates):
Tc (0.2475, 0.2475, 0.2475)
Tc (0.7525, 0.7525, 0.7525)
Sb (0.0000, 0.0000, 0.0000)
Os (0.5000, 0.5000, 0.5000)

TcSb2Os: optimized geometry, PBE.

Lattice parameters (Å, degrees): 7.1873 7.1873 7.1873 130.29 130.29 72.94
Atoms (fractional coordinates):
Tc (0.0000, 0.0000, 0.0000)
Tc (0.7500, 0.2500, 0.5000)
Sb (0.1303, 0.6250, 0.0053)
Sb (0.3750, 0.3803, 0.5053)
Sb (0.6197, 0.1250, 0.9947)
Sb (0.8750, 0.8697, 0.4947)
Os (0.2500, 0.7500, 0.5000)
Os (0.5000, 0.5000, 0.0000)

Tc2SbOs: optimized geometry, PBE.

Lattice parameters (Å, degrees): 4.4887 4.4887 4.4887 60.00 60.00 60.00
Atoms (fractional coordinates):
Tc (0.0000, 0.0000, 0.0000)
Tc (0.2500, 0.2500, 0.2500)
Sb (0.5000, 0.5000, 0.5000)
Os (0.7500, 0.7500, 0.7500)

Tc2SbOs: optimized geometry, PBE.

Lattice parameters (Å, degrees): 5.2806 5.2806 5.2806 145.79 129.04 62.82
Atoms (fractional coordinates):
Tc (0.2340, 0.2340, 0.0000)
Tc (0.7660, 0.7660, 0.0000)
Sb (0.0000, 0.5000, 0.5000)
Os (0.5000, 0.0000, 0.5000)

TcSb2TeOs: optimized geometry, PBE.

Lattice parameters (Å, degrees): 5.0517 5.0517 5.0669 90.00 90.00 90.00
Atoms (fractional coordinates):
Tc (0.0000, 0.0000, 0.0000)
Sb (0.0000, 0.5000, 0.0000)
Sb (0.5000, 0.0000, 0.0000)
Te (0.0000, 0.0000, 0.5000)
Os (0.5000, 0.5000, 0.5000)

TcSb2TeOs: optimized geometry, PBE.

Lattice parameters (Å, degrees): 5.0005 5.0005 5.6352 90.00 90.00 90.00
Atoms (fractional coordinates):
Tc (0.0000, 0.0000, 0.0000)
Sb (0.0000, 0.5000, 0.5000)
Sb (0.5000, 0.0000, 0.5000)
Te (0.5000, 0.5000, 0.0000)
Os (0.5000, 0.5000, 0.5000)

VTcSbOs: optimized geometry, PBE.

Lattice parameters (Å, degrees): 4.4375 4.4375 4.4375 60.00 60.00 60.00
Atoms (fractional coordinates):
V (0.0000, 0.0000, 0.0000)
Tc (0.2500, 0.2500, 0.2500)
Sb (0.5000, 0.5000, 0.5000)
Os (0.7500, 0.7500, 0.7500)

V2TcSbOs: optimized geometry, PBE.

Lattice parameters (Å, degrees): 4.5735 4.5735 4.9532 90.00 90.00 90.00
Atoms (fractional coordinates):
V (0.0000, 0.5000, 0.0000)
V (0.5000, 0.0000, 0.0000)
Tc (0.0000, 0.0000, 0.5000)
Sb (0.5000, 0.5000, 0.5000)
Os (0.5000, 0.5000, 0.0000)

TcSb2OsW: optimized geometry, PBE.

Lattice parameters (Å, degrees): 5.1028 5.1028 4.7027 90.00 90.00 90.00
Atoms (fractional coordinates):
Tc (0.0000, 0.0000, 0.0000)
Sb (0.0000, 0.5000, 0.5000)
Sb (0.5000, 0.0000, 0.5000)
Os (0.5000, 0.5000, 0.0000)
W (0.0000, 0.0000, 0.5000)

ZnTc2SbOs: optimized geometry, PBE.

Lattice parameters (Å, degrees): 4.8476 4.8476 4.8237 90.00 90.00 90.00
Atoms (fractional coordinates):
Zn (0.0000, 0.0000, 0.0000)
Tc (0.0000, 0.5000, 0.5000)
Tc (0.5000, 0.0000, 0.5000)
Sb (0.5000, 0.5000, 0.5000)
Os (0.5000, 0.5000, 0.0000)

SbTe2Os2: optimized geometry, PBE.

Lattice parameters (Å, degrees): 6.4238 6.4238 6.4238 139.57 139.57 58.51
Atoms (fractional coordinates):
Sb (0.0000, 0.0000, 0.0000)
Te (0.2500, 0.7500, 0.5000)
Te (0.7500, 0.2500, 0.5000)
Os (0.3920, 0.3920, 0.0000)
Os (0.6080, 0.6080, 0.0000)

SbTeOs: optimized geometry, PBE.

Lattice parameters (Å, degrees): 3.8079 3.8079 5.7469 90.00 90.00 120.00
Atoms (fractional coordinates):
Sb (0.0000, 0.0000, 0.0000)
Te (0.6667, 0.3333, 0.4674)
Os (0.3333, 0.6667, 0.7262)

| no. | size of the total moment (μB per cell) | formation energy (no corrections) (eV per formula unit) |
| --- | --- | --- |
| 1 | 0.0 | 4.0 |
| 2 | 0.0 | 1.2 |
| 3 | 0.0 | 1.4 |
| 4 | 0.0 | 1.5 |
| 5 | 0.0 | 3.7 |
| 6 | 1.7 | 1.8 |
| 7 | 0.0 | 1.7 |
| 8 | 0.7 | 7.2 |
| 9 | 3.7 | 6.6 |
| 10 | 1.0 | 0.1 |
| 11 | 3.7 | 7.3 |
| 12 | 2.4 | 10.1 |
| 13 | 2.5 | 10.1 |
| 14 | 0.0 | 3.6 |
| 15 | 0.0 | 0.9 |